# 1
This record from the Alexandria database describes a geometry-optimized AcSmInGe structure. The functional is PBE-GGA.

Summary:
**DOS(E_F)**: 0.620 states/eV per atom
**Crystal system**: cubic
**Calculated total energy**: -4.49 eV/atom

Lattice parameters (Å, degrees): 7.768 7.768 7.768 90.00 90.00 90.00
Space group F-43m (No. 216)
Symmetry-distinct sites (fractional):
Ac: 0.000 0.000 0.000 (multiplicity 4)
Sm: 0.000 0.000 0.500 (multiplicity 4)
In: 0.250 0.250 0.750 (multiplicity 4)
Ge: 0.250 0.250 0.250 (multiplicity 4)

***

# 2
This record from the Alexandria database describes a geometry-optimized K3MnS4 structure. The functional is PBE-GGA.

Summary:
**Polymorph energy (0 for the lowest one)**: 103 meV per atom
**Formation energy without anion corrections**: -0.836 eV per atom
**Crystal system**: orthorhombic

Lattice parameters (Å, degrees): 6.675 9.760 7.308 90.00 90.00 90.00
Space group Imm2 (No. 44)
Symmetry-distinct sites (fractional):
K: 0.000 0.000 0.000 (multiplicity 2)
K: 0.000 0.247 0.411 (multiplicity 4)
Mn: 0.000 0.500 0.985 (multiplicity 2)
S: 0.000 0.316 0.827 (multiplicity 4)
S: 0.247 0.000 0.654 (multiplicity 4)

***

# 3
This record from the Alexandria database describes a geometry-optimized CsPuGe structure. The functional is PBE-GGA.

Summary:
**DOS(E_F)**: 1.625 states/eV per atom
**Crystal system**: trigonal
**Calculated total energy**: -6.43 eV/atom

Lattice parameters (Å, degrees): 3.9160 3.9160 45.1392 90.00 90.00 120.00
Space group R-3m (No. 166, hexagonal axes)
Symmetry-distinct sites (fractional):
Cs: 0.0000 0.0000 0.1098 (multiplicity 6)
Pu: 0.0000 0.0000 0.3233 (multiplicity 6)
Ge: 0.0000 0.0000 0.3848 (multiplicity 6)

***

Copy entry 1 word for word.
This record from the Alexandria database describes a geometry-optimized AcSmInGe structure. The functional is PBE-GGA.

Summary:
**DOS(E_F)**: 0.620 states/eV per atom
**Crystal system**: cubic
**Calculated total energy**: -4.49 eV/atom

Lattice parameters (Å, degrees): 7.768 7.768 7.768 90.00 90.00 90.00
Space group F-43m (No. 216)
Symmetry-distinct sites (fractional):
Ac: 0.000 0.000 0.000 (multiplicity 4)
Sm: 0.000 0.000 0.500 (multiplicity 4)
In: 0.250 0.250 0.750 (multiplicity 4)
Ge: 0.250 0.250 0.250 (multiplicity 4)